Entry from the Alexandria database: a relaxed ZnInAs4 crystal (PBE).

abc: 8.043 8.043 8.043
angles: 90.00 90.00 90.00
Space group F-43m (No. 216)
Unique sites:
Zn  0.000  0.000  0.000 [4 per cell]
In  0.250  0.250  0.250 [4 per cell]
As  0.126  0.126  0.626 [16 per cell]

Calculated values
DFT formation energy: 0.302 eV per atom
mass density: 6127 kg/m3

=====

Entry from the Alexandria database: a relaxed Gd3ThN crystal (PBE).

abc: 5.017 5.017 5.017
angles: 90.00 90.00 90.00
Space group Pm-3m (No. 221)
Unique sites:
Gd  0.000  0.000  0.500 [3 per cell]
Th  0.500  0.500  0.500 [1 per cell]
N  0.000  0.000  0.000 [1 per cell]

Calculated values
raw formation energy: -2.13 eV per formula unit
mass density: 9438 kg/m3

=====

Entry from the Alexandria database: a relaxed TlSiPt crystal (PBE).

abc: 3.6638 3.6638 5.5867
angles: 90.00 90.00 120.00
Space group P3m1 (No. 156)
Unique sites:
Tl  0.0000  0.0000  0.0000 [1 per cell]
Si  0.3333  0.6667  0.5868 [1 per cell]
Pt  0.6667  0.3333  0.4023 [1 per cell]

Calculated values
raw formation energy: -0.54 eV per formula unit
mass density: 10932 kg/m3

=====

Entry from the Alexandria database: a relaxed AlSb2Se2Cl4 crystal (PBE).

abc: 9.678 11.367 12.547
angles: 66.10 78.59 72.05
Space group P-1 (No. 2)
Unique sites:
Al  0.118  0.199  0.462 [2 per cell]
Al  0.199  0.689  0.950 [2 per cell]
Sb  0.297  0.562  0.489 [2 per cell]
Sb  0.351  0.987  0.929 [2 per cell]
Sb  0.447  0.139  0.681 [2 per cell]
Sb  0.447  0.378  0.818 [2 per cell]
Se  0.250  0.348  0.714 [2 per cell]
Se  0.345  0.789  0.264 [2 per cell]
Se  0.381  0.159  0.018 [2 per cell]
Se  0.485  0.609  0.584 [2 per cell]
Cl  0.014  0.851  0.950 [2 per cell]
Cl  0.100  0.801  0.558 [2 per cell]
Cl  0.119  0.404  0.415 [2 per cell]
Cl  0.153  0.557  0.885 [2 per cell]
Cl  0.159  0.092  0.645 [2 per cell]
Cl  0.270  0.576  0.125 [2 per cell]
Cl  0.278  0.113  0.350 [2 per cell]
Cl  0.383  0.763  0.840 [2 per cell]

Calculated values
raw formation energy: -8.38 eV per formula unit
mass density: 3166 kg/m3

=====

Entry from the Alexandria database: a relaxed CoCuBr2 crystal (PBE).

abc: 3.577 3.577 15.231
angles: 90.00 90.00 90.00
Space group I-4m2 (No. 119)
Unique sites:
Co  0.000  0.000  0.000 [2 per cell]
Cu  0.000  0.500  0.750 [2 per cell]
Br  0.000  0.000  0.500 [2 per cell]
Br  0.000  0.500  0.250 [2 per cell]

Calculated values
raw formation energy: 1.29 eV per formula unit
mass density: 4810 kg/m3

=====

Entry from the Alexandria database: a relaxed Dy2LuIn crystal (PBE).

abc: 4.811 4.811 4.810
angles: 90.00 90.00 90.00
Space group P4/mmm (No. 123)
Unique sites:
Dy  0.000  0.500  0.000 [2 per cell]
Lu  0.000  0.000  0.500 [1 per cell]
In  0.500  0.500  0.500 [1 per cell]

Calculated values
DFT formation energy: -0.261 eV per atom
mass density: 9169 kg/m3

=====

Entry from the Alexandria database: a relaxed NdEr2O crystal (PBE).

abc: 3.192 3.192 8.739
angles: 90.00 90.00 90.00
Space group P4/mmm (No. 123)
Unique sites:
Nd  0.000  0.000  0.000 [1 per cell]
Er  0.500  0.500  0.324 [2 per cell]
O  0.000  0.000  0.500 [1 per cell]

Calculated values
raw formation energy: -3.16 eV per formula unit
mass density: 9227 kg/m3

=====

Entry from the Alexandria database: a relaxed ZnTc2Sn crystal (PBE).

abc: 6.335 6.335 6.335
angles: 90.00 90.00 90.00
Space group Fm-3m (No. 225)
Unique sites:
Zn  0.000  0.000  0.000 [4 per cell]
Tc  0.250  0.250  0.250 [8 per cell]
Sn  0.000  0.000  0.500 [4 per cell]

Calculated values
DFT formation energy: 0.260 eV per atom
mass density: 9931 kg/m3

=====

Which of these has the lowest mass density? AlSb2Se2Cl4